# Pm8GaAg2

A geometry-optimized Pm8GaAg2 structure (GGA-PBE, Alexandria). Values from VASP.

```
&SYSTEM
  ibrav = 0, nat = 11, ntyp = 3
/
ATOMIC_SPECIES
Pm 145.00 Pm.upf
Ga 69.72 Ga.upf
Ag 107.87 Ag.upf
CELL_PARAMETERS angstrom
9.156 -2.644 0.000
9.156 2.644 0.000
-2.238 0.000 6.781
ATOMIC_POSITIONS crystal
Pm 0.024 0.024 0.278
Pm 0.197 0.197 0.817
Pm 0.332 0.332 0.519
Pm 0.409 0.409 0.041
Pm 0.591 0.591 0.959
Pm 0.668 0.668 0.481
Pm 0.803 0.803 0.183
Pm 0.976 0.976 0.722
Ga 0.500 0.500 0.500
Ag 0.179 0.179 0.219
Ag 0.821 0.821 0.781
```

# RbTaCd

A geometry-optimized RbTaCd structure (GGA-PBE, Alexandria). Values from VASP.

```
&SYSTEM
  ibrav = 0, nat = 6, ntyp = 3
/
ATOMIC_SPECIES
Rb 85.47 Rb.upf
Ta 180.95 Ta.upf
Cd 112.41 Cd.upf
CELL_PARAMETERS angstrom
5.451 0.000 0.000
-2.725 4.721 0.000
0.000 0.000 6.136
ATOMIC_POSITIONS crystal
Rb 0.000 0.000 0.000
Rb 0.000 0.000 0.500
Ta 0.333 0.667 0.250
Ta 0.667 0.333 0.750
Cd 0.333 0.667 0.750
Cd 0.667 0.333 0.250
```

In meV/atom, the polymorph energy (0 for the lowest one) values for the records above are, in order, 0.0; 1141.9.
In eV/atom, the energy of formation from the pure elements values for the records above are, in order, -0.168; 1.533.